1.
Computed, not measured: a relaxed structure of AlInRh2 at the PBE-GGA level of DFT.

Calculated values
total energy: -46.180 eV/cell
energy relative to the elements: -0.48 eV/atom

Structure (CIF):
```
data_AlInRh2
_chemical_formula_sum 'Al2 In2 Rh4'
_cell_length_a 3.080
_cell_length_b 4.289
_cell_length_c 9.617
_cell_angle_alpha 90.00
_cell_angle_beta 90.00
_cell_angle_gamma 90.00
_space_group_name_H-M_alt 'I m m 2'
_space_group_IT_number 44
loop_
_space_group_symop_operation_xyz
'x,y,z'
'-x,-y,z'
'-x,y,z'
'x,-y,z'
'x+1/2,y+1/2,z+1/2'
'-x+1/2,-y+1/2,z+1/2'
'-x+1/2,y+1/2,z+1/2'
'x+1/2,-y+1/2,z+1/2'
loop_
_atom_site_label
_atom_site_type_symbol
_atom_site_fract_x
_atom_site_fract_y
_atom_site_fract_z
Al1 Al 0.000 0.000 0.000
In1 In 0.000 0.500 0.764
Rh1 Rh 0.000 0.000 0.527
Rh2 Rh 0.000 0.500 0.294
```



2.
Computed, not measured: a relaxed structure of NdSmTl2Se4 at the PBE-GGA level of DFT.

Calculated values
total energy: -39.208 eV/cell
formation energy from raw total energies: -1381 meV/atom

Structure (CIF):
```
data_NdSmTl2Se4
_chemical_formula_sum 'Nd1 Sm1 Tl2 Se4'
_cell_length_a 7.448
_cell_length_b 4.301
_cell_length_c 8.143
_cell_angle_alpha 90.00
_cell_angle_beta 107.74
_cell_angle_gamma 90.00
_space_group_name_H-M_alt 'P 1 2/m 1'
_space_group_IT_number 10
loop_
_space_group_symop_operation_xyz
'x,y,z'
'-x,-y,-z'
'-x,y,-z'
'x,-y,z'
loop_
_atom_site_label
_atom_site_type_symbol
_atom_site_fract_x
_atom_site_fract_y
_atom_site_fract_z
Nd1 Nd 0.000 0.000 0.000
Sm1 Sm 0.500 0.500 0.000
Tl1 Tl 0.000 0.500 0.500
Tl2 Tl 0.500 0.000 0.500
Se1 Se 0.239 0.500 0.210
Se2 Se 0.266 0.000 0.791
```



3.
Computed, not measured: a relaxed structure of Na10B13C7 at the PBE-GGA level of DFT.

Calculated values
total energy: -161.047 eV/cell
energy relative to the elements: 0.12 eV/atom
polymorph energy (0 for the lowest one): 32 meV per atom

Structure (CIF):
```
data_Na10B13C7
_chemical_formula_sum 'Na10 B13 C7'
_cell_length_a 2.8724
_cell_length_b 2.8724
_cell_length_c 42.5875
_cell_angle_alpha 90.00
_cell_angle_beta 90.00
_cell_angle_gamma 120.00
_space_group_name_H-M_alt 'P -6 m 2'
_space_group_IT_number 187
_space_group_name_Hall 'P -6 2'
loop_
_atom_site_label
_atom_site_type_symbol
_atom_site_fract_x
_atom_site_fract_y
_atom_site_fract_z
Na1 Na 0.0000 0.0000 0.0493
Na2 Na 0.0000 0.0000 0.1480
Na3 Na 0.0000 0.0000 0.2472
Na4 Na 0.0000 0.0000 0.3492
Na5 Na 0.0000 0.0000 0.4490
B1 B 0.3333 0.6667 0.0000
B2 B 0.3333 0.6667 0.1973
B3 B 0.3333 0.6667 0.2982
B4 B 0.3333 0.6667 0.3991
B5 B 0.3333 0.6667 0.5000
B6 B 0.6667 0.3333 0.0986
B7 B 0.6667 0.3333 0.2982
B8 B 0.6667 0.3333 0.5000
C1 C 0.3333 0.6667 0.0986
C2 C 0.6667 0.3333 0.0000
C3 C 0.6667 0.3333 0.1972
C4 C 0.6667 0.3333 0.3991
```



4.
Computed, not measured: a relaxed structure of AlHgPb at the PBE-GGA level of DFT.

Calculated values
total energy: -28.776 eV/cell
energy relative to the elements: 0.19 eV/atom
polymorph energy (0 for the lowest one): 64 meV per atom

Structure (CIF):
```
data_AlHgPb
_chemical_formula_sum 'Al4 Hg4 Pb4'
_cell_length_a 3.872
_cell_length_b 5.530
_cell_length_c 14.264
_cell_angle_alpha 90.00
_cell_angle_beta 90.00
_cell_angle_gamma 90.00
_space_group_name_H-M_alt 'F m m 2'
_space_group_IT_number 42
_space_group_name_Hall 'F 2 -2'
loop_
_atom_site_label
_atom_site_type_symbol
_atom_site_fract_x
_atom_site_fract_y
_atom_site_fract_z
Al1 Al 0.000 0.000 0.000
Hg1 Hg 0.000 0.000 0.356
Pb1 Pb 0.000 0.000 0.664
```



5.
Computed, not measured: a relaxed structure of Ba4CoRe at the PBE-GGA level of DFT.

Calculated values
total energy: -68.293 eV/cell
energy relative to the elements: 1.70 eV/atom

Structure (CIF):
```
data_Ba4CoRe
_chemical_formula_sum 'Ba16 Co4 Re4'
_cell_length_a 9.680
_cell_length_b 9.680
_cell_length_c 9.680
_cell_angle_alpha 90.00
_cell_angle_beta 90.00
_cell_angle_gamma 90.00
_space_group_name_H-M_alt 'F -4 3 m'
_space_group_IT_number 216
_space_group_name_Hall 'F -4 2 3'
loop_
_atom_site_label
_atom_site_type_symbol
_atom_site_fract_x
_atom_site_fract_y
_atom_site_fract_z
Ba1 Ba 0.125 0.125 0.125
Co1 Co 0.250 0.250 0.750
Re1 Re 0.000 0.000 0.500
```



6.
Computed, not measured: a relaxed structure of Li2ZrIn at the PBE-GGA level of DFT.

Calculated values
total energy: -15.348 eV/cell
energy relative to the elements: -0.06 eV/atom

Structure (CIF):
```
data_Li2ZrIn
_chemical_formula_sum 'Li2 Zr1 In1'
_cell_length_a 3.116
_cell_length_b 3.116
_cell_length_c 8.237
_cell_angle_alpha 90.00
_cell_angle_beta 90.00
_cell_angle_gamma 90.00
_space_group_name_H-M_alt 'P 4 m m'
_space_group_IT_number 99
loop_
_space_group_symop_operation_xyz
'x,y,z'
'-y,x,z'
'-x,-y,z'
'y,-x,z'
'-x,y,z'
'y,x,z'
'x,-y,z'
'-y,-x,z'
loop_
_atom_site_label
_atom_site_type_symbol
_atom_site_fract_x
_atom_site_fract_y
_atom_site_fract_z
Li1 Li 0.000 0.000 0.000
Li2 Li 0.500 0.500 0.222
Zr1 Zr 0.000 0.000 0.500
In1 In 0.500 0.500 0.774
```